Record 1
Entry from Alexandria via LeMat-Bulk: crystalline Dy4Er7Sc at its relaxed geometry (PBE-GGA).

## Properties
M_tot (μB per atom): 0.0000
Energy relative to the elements (eV/atom): 0.103
Space-group type: P-1 (2)

a b c (Å): 6.3862 6.6870 8.9670
angles (deg): 85.50 76.51 81.64
Positions (direct):
Dy (0.1514, 0.3147, 0.2803)
Dy (0.3342, 0.8814, 0.6931)
Dy (0.6658, 0.1186, 0.3069)
Dy (0.8486, 0.6853, 0.7197)
Er (0.0026, 0.2552, 0.9511)
Er (0.1781, 0.8048, 0.3632)
Er (0.3115, 0.3918, 0.6171)
Er (0.5000, 0.0000, 0.0000)
Er (0.6885, 0.6082, 0.3829)
Er (0.8219, 0.1952, 0.6368)
Er (0.9974, 0.7448, 0.0489)
Sc (0.5000, 0.5000, 0.0000)


Record 2
Entry from Alexandria via LeMat-Bulk: crystalline Dy4Er5Sc4 at its relaxed geometry (PBE-GGA).

## Properties
M_tot (μB per atom): 0.0000
Energy relative to the elements (eV/atom): 0.044
Space-group type: I4/m (87)

a b c (Å): 9.1047 9.1047 9.1047
angles (deg): 94.10 94.10 148.97
Positions (direct):
Dy (0.0786, 0.3812, 0.4598)
Dy (0.3812, 0.9214, 0.3026)
Dy (0.6188, 0.0786, 0.6974)
Dy (0.9214, 0.6188, 0.5402)
Er (0.0000, 0.0000, 0.0000)
Er (0.3085, 0.5414, 0.8499)
Er (0.4586, 0.3085, 0.7671)
Er (0.5414, 0.6915, 0.2329)
Er (0.6915, 0.4586, 0.1501)
Sc (0.1553, 0.7683, 0.9236)
Sc (0.2317, 0.1553, 0.3870)
Sc (0.7683, 0.8447, 0.6130)
Sc (0.8447, 0.2317, 0.0764)


Record 3
Entry from Alexandria via LeMat-Bulk: crystalline Dy7ErSc4 at its relaxed geometry (PBE-GGA).

## Properties
M_tot (μB per atom): 0.0372
Energy relative to the elements (eV/atom): 0.251
Space-group type: C2/m (12)

a b c (Å): 8.2404 8.2404 9.3801
angles (deg): 118.81 118.81 40.69
Positions (direct):
Dy (0.0000, 0.0000, 0.0000)
Dy (0.2582, 0.2582, 0.7234)
Dy (0.2921, 0.2921, 0.1183)
Dy (0.4124, 0.4124, 0.5555)
Dy (0.5876, 0.5876, 0.4445)
Dy (0.7079, 0.7079, 0.8817)
Dy (0.7418, 0.7418, 0.2766)
Er (0.5000, 0.5000, 0.0000)
Sc (0.0544, 0.0544, 0.7023)
Sc (0.1675, 0.1675, 0.3476)
Sc (0.8325, 0.8325, 0.6524)
Sc (0.9456, 0.9456, 0.2977)


Record 4
Entry from Alexandria via LeMat-Bulk: crystalline Dy9ErSc2 at its relaxed geometry (PBE-GGA).

## Properties
M_tot (μB per atom): 0.0000
Energy relative to the elements (eV/atom): 0.035
Space-group type: P4/mmm (123)

a b c (Å): 4.9416 4.9416 14.8041
angles (deg): 90.00 90.00 90.00
Positions (direct):
Dy (0.0000, 0.0000, 0.0000)
Dy (0.0000, 0.0000, 0.3356)
Dy (0.0000, 0.0000, 0.6644)
Dy (0.0000, 0.5000, 0.1705)
Dy (0.0000, 0.5000, 0.5000)
Dy (0.0000, 0.5000, 0.8295)
Dy (0.5000, 0.0000, 0.1705)
Dy (0.5000, 0.0000, 0.5000)
Dy (0.5000, 0.0000, 0.8295)
Er (0.5000, 0.5000, 0.0000)
Sc (0.5000, 0.5000, 0.3350)
Sc (0.5000, 0.5000, 0.6650)


Record 5
Entry from Alexandria via LeMat-Bulk: crystalline Dy4ErSc6 at its relaxed geometry (PBE-GGA).

## Properties
M_tot (μB per atom): 0.0000
Energy relative to the elements (eV/atom): 0.124
Space-group type: Cmcm (63)

a b c (Å): 5.3513 5.3513 24.3848
angles (deg): 90.00 90.00 119.95
Positions (direct):
Dy (0.0007, 0.9993, 0.6235)
Dy (0.0007, 0.9993, 0.8765)
Dy (0.3335, 0.6665, 0.5420)
Dy (0.3335, 0.6665, 0.9580)
Dy (0.6665, 0.3335, 0.0420)
Dy (0.6665, 0.3335, 0.4580)
Dy (0.9993, 0.0007, 0.1235)
Dy (0.9993, 0.0007, 0.3765)
Er (0.3321, 0.6679, 0.2500)
Er (0.6679, 0.3321, 0.7500)
Sc (0.0000, 0.0000, 0.0000)
Sc (0.0000, 0.0000, 0.5000)
Sc (0.0013, 0.9987, 0.7500)
Sc (0.3328, 0.6672, 0.1038)
Sc (0.3328, 0.6672, 0.3962)
Sc (0.3343, 0.6657, 0.6838)
Sc (0.3343, 0.6657, 0.8162)
Sc (0.6657, 0.3343, 0.1838)
Sc (0.6657, 0.3343, 0.3162)
Sc (0.6672, 0.3328, 0.6038)
Sc (0.6672, 0.3328, 0.8962)
Sc (0.9987, 0.0013, 0.2500)


Record 6
Entry from Alexandria via LeMat-Bulk: crystalline DyEr2Sc9 at its relaxed geometry (PBE-GGA).

## Properties
M_tot (μB per atom): 0.1301
Energy relative to the elements (eV/atom): 0.257
Space-group type: R-3m (166)

a b c (Å): 10.1549 10.1549 10.1549
angles (deg): 36.40 36.40 36.40
Positions (direct):
Dy (0.0000, 0.0000, 0.0000)
Er (0.1368, 0.1368, 0.1368)
Er (0.8632, 0.8632, 0.8632)
Sc (0.0751, 0.5935, 0.5935)
Sc (0.3347, 0.3347, 0.3347)
Sc (0.4065, 0.4065, 0.9249)
Sc (0.4065, 0.9249, 0.4065)
Sc (0.5000, 0.5000, 0.5000)
Sc (0.5935, 0.0751, 0.5935)
Sc (0.5935, 0.5935, 0.0751)
Sc (0.6653, 0.6653, 0.6653)
Sc (0.9249, 0.4065, 0.4065)


Record 7
Entry from Alexandria via LeMat-Bulk: crystalline Dy3ErSc7 at its relaxed geometry (PBE-GGA).

## Properties
M_tot (μB per atom): 0.0384
Energy relative to the elements (eV/atom): 0.302
Space-group type: Immm (71)

a b c (Å): 7.9551 7.9551 7.9551
angles (deg): 139.98 98.03 95.42
Positions (direct):
Dy (0.0000, 0.0000, 0.0000)
Dy (0.2120, 0.5000, 0.7120)
Dy (0.7880, 0.5000, 0.2880)
Er (0.5000, 0.0000, 0.5000)
Sc (0.0220, 0.2148, 0.8072)
Sc (0.2077, 0.7077, 0.5000)
Sc (0.4076, 0.2148, 0.1928)
Sc (0.5000, 0.5000, 0.0000)
Sc (0.5924, 0.7852, 0.8072)
Sc (0.7923, 0.2923, 0.5000)
Sc (0.9780, 0.7852, 0.1928)


Record 8
Entry from Alexandria via LeMat-Bulk: crystalline Dy6ErSc at its relaxed geometry (PBE-GGA).

## Properties
M_tot (μB per atom): 0.0000
Energy relative to the elements (eV/atom): 0.032
Space-group type: P4/mmm (123)

a b c (Å): 4.9610 4.9610 9.8844
angles (deg): 90.00 90.00 90.00
Positions (direct):
Dy (0.0000, 0.0000, 0.0000)
Dy (0.0000, 0.0000, 0.5000)
Dy (0.0000, 0.5000, 0.2457)
Dy (0.0000, 0.5000, 0.7543)
Dy (0.5000, 0.0000, 0.2457)
Dy (0.5000, 0.0000, 0.7543)
Er (0.5000, 0.5000, 0.5000)
Sc (0.5000, 0.5000, 0.0000)